Here is TaAgMo after structural relaxation from Alexandria via LeMat-Bulk. Energies are from PBE.

## Properties
The formation energy from the elements comes out at 9.3 kcal/mol of atoms. The value obtained for the total DFT energy (no corrections) is -24.322 eV for the cell shown. The calculation puts the total magnetic moment at 0.00 μB/atom. For the distance to the lowest polymorph of the same formula, the calculation gives 177 meV per atom.

Unit cell a=5.147 b=5.147 c=5.147 alpha=150.04 beta=129.87 gamma=59.51
Sites, in units of the cell vectors:
Ta 0.000 0.000 0.000
Ag 0.671 0.671 0.000
Mo 0.340 0.340 0.000